1.
In2SbBr: relaxed, PBE.

Unit cell a=4.2314 b=4.2314 c=26.1543 alpha=90.00 beta=90.00 gamma=120.00
Space group R3m (No. 160, hexagonal axes)
Symmetry-distinct sites (fractional):
In 0.0000 0.0000 0.0000 (multiplicity 3)
In 0.0000 0.0000 0.2492 (multiplicity 3)
Sb 0.0000 0.0000 0.5251 (multiplicity 3)
Br 0.0000 0.0000 0.7339 (multiplicity 3)

Computed properties:
- ΔE to the lowest computed polymorph: 0.1337 eV per atom
- Formation energy (no corrections): -0.136 eV/atom
- Crystal system: trigonal
- Total energy: -2.95 eV per atom
- Total magnetization: 0.00 μB/f.u.

2.
InSbBr6: relaxed, PBE.

Unit cell a=6.9526 b=6.9526 c=18.8423 alpha=90.00 beta=90.00 gamma=120.00
Space group R-3 (No. 148, hexagonal axes)
Symmetry-distinct sites (fractional):
In 0.0000 0.0000 0.0000 (multiplicity 3)
Sb 0.0000 0.0000 0.5000 (multiplicity 3)
Br 0.0025 0.3268 0.9181 (multiplicity 18)

Computed properties:
- Formation energy (no corrections): -0.624 eV/atom
- Crystal system: trigonal
- Total energy: -2.74 eV per atom
- Total magnetization: 0.00 μB/f.u.

3.
In2SbBr: relaxed, PBE.

Unit cell a=5.671 b=5.671 c=3.535 alpha=90.00 beta=90.00 gamma=90.00
Space group P4/mmm (No. 123)
Symmetry-distinct sites (fractional):
In 0.000 0.500 0.000 (multiplicity 2)
Sb 0.000 0.000 0.500 (multiplicity 1)
Br 0.500 0.500 0.500 (multiplicity 1)

Computed properties:
- ΔE to the lowest computed polymorph: 0.0672 eV per atom
- Formation energy (no corrections): -0.202 eV/atom
- Crystal system: tetragonal
- Total energy: -3.02 eV per atom
- Total magnetization: 0.00 μB/f.u.

4.
In2SbBr: relaxed, PBE.

Unit cell a=5.139 b=3.885 c=11.918 alpha=90.00 beta=90.00 gamma=90.00
Space group Amm2 (No. 38)
Symmetry-distinct sites (fractional):
In 0.000 0.000 0.000 (multiplicity 2)
In 0.500 0.000 0.240 (multiplicity 2)
Sb 0.000 0.000 0.728 (multiplicity 2)
Br 0.500 0.000 0.482 (multiplicity 2)

Computed properties:
- ΔE to the lowest computed polymorph: 0.0597 eV per atom
- Formation energy (no corrections): -0.210 eV/atom
- Crystal system: orthorhombic
- Total energy: -3.03 eV per atom
- Total magnetization: 0.00 μB/f.u.

5.
InSb2Br: relaxed, PBE.

Unit cell a=6.083 b=13.245 c=4.346 alpha=90.00 beta=134.20 gamma=90.00
Space group C2/m (No. 12)
Symmetry-distinct sites (fractional):
In 0.000 0.000 0.000 (multiplicity 2)
Sb 0.250 0.250 0.500 (multiplicity 4)
Br 0.000 0.500 0.000 (multiplicity 2)

Computed properties:
- ΔE to the lowest computed polymorph: 0.1213 eV per atom
- Formation energy (no corrections): -0.019 eV/atom
- Crystal system: monoclinic
- Total energy: -3.18 eV per atom
- Total magnetization: 0.00 μB/f.u.

6.
InSb2Br: relaxed, PBE.

Unit cell a=4.485 b=4.485 c=25.073 alpha=90.00 beta=90.00 gamma=90.00
Space group I-42d (No. 122)
Symmetry-distinct sites (fractional):
In 0.000 0.000 0.000 (multiplicity 4)
Sb 0.203 0.250 0.125 (multiplicity 8)
Br 0.000 0.000 0.500 (multiplicity 4)

Computed properties:
- ΔE to the lowest computed polymorph: 0.0488 eV per atom
- Formation energy (no corrections): -0.091 eV/atom
- Crystal system: tetragonal
- Total energy: -3.26 eV per atom
- Total magnetization: 0.00 μB/f.u.